Computed, not measured: Zr2AuN after structural relaxation at the PBE level of DFT.

Cell: 5.8337 5.8337 5.8337 Å, 113.84 113.84 101.05°
Atoms (fractional coordinates):
Zr (0.0408, 0.1250, 0.4158)
Zr (0.3750, 0.9592, 0.0842)
Zr (0.7092, 0.6250, 0.5842)
Zr (0.8750, 0.2908, 0.9158)
Au (0.2500, 0.7500, 0.5000)
Au (0.5000, 0.5000, 0.0000)
N (0.0000, 0.0000, 0.0000)
N (0.7500, 0.2500, 0.5000)

## Properties
raw total energy: -7.963 eV/atom
space-group type: No. 122
formation energy without anion corrections: -3.15 eV per formula unit

Computed, not measured: Zr3AuN after structural relaxation at the PBE level of DFT.

Cell: 7.7400 7.7400 7.7400 Å, 137.72 137.72 61.33°
Atoms (fractional coordinates):
Zr (0.2015, 0.2015, 0.0000)
Zr (0.3466, 0.6086, 0.7380)
Zr (0.3914, 0.1294, 0.7380)
Zr (0.3914, 0.6534, 0.2620)
Zr (0.7985, 0.7985, 0.0000)
Zr (0.8706, 0.6086, 0.2620)
Au (0.6287, 0.1287, 0.5000)
Au (0.8713, 0.3713, 0.5000)
N (0.2500, 0.7500, 0.5000)
N (0.5000, 0.5000, 0.0000)

## Properties
raw total energy: -7.640 eV/atom
space-group type: No. 119
formation energy without anion corrections: -0.95 eV per formula unit

Computed, not measured: Zr3AuN after structural relaxation at the PBE level of DFT.

Cell: 5.9531 5.9531 9.7396 Å, 104.35 104.35 32.87°
Atoms (fractional coordinates):
Zr (0.1098, 0.1098, 0.1750)
Zr (0.1715, 0.1715, 0.6191)
Zr (0.3533, 0.3533, 0.0936)
Zr (0.6467, 0.6467, 0.9064)
Zr (0.8285, 0.8285, 0.3809)
Zr (0.8902, 0.8902, 0.8250)
Au (0.4564, 0.4564, 0.6227)
Au (0.5436, 0.5436, 0.3773)
N (0.2654, 0.2654, 0.8555)
N (0.7346, 0.7346, 0.1445)

## Properties
raw total energy: -8.395 eV/atom
space-group type: No. 12
formation energy without anion corrections: -4.73 eV per formula unit

Computed, not measured: Zr3AuN after structural relaxation at the PBE level of DFT.

Cell: 11.1662 11.1662 11.1662 Å, 154.89 154.89 35.80°
Atoms (fractional coordinates):
Zr (0.1949, 0.1949, 0.0000)
Zr (0.3769, 0.1326, 0.7557)
Zr (0.3769, 0.6212, 0.2443)
Zr (0.3788, 0.6231, 0.7557)
Zr (0.8051, 0.8051, 0.0000)
Zr (0.8674, 0.6231, 0.2443)
Au (0.2500, 0.7500, 0.5000)
Au (0.5000, 0.5000, 0.0000)
N (0.6552, 0.1552, 0.5000)
N (0.8448, 0.3448, 0.5000)

## Properties
raw total energy: -6.781 eV/atom
space-group type: No. 119
formation energy without anion corrections: 3.34 eV per formula unit

Computed, not measured: Zr7Au2N2 after structural relaxation at the PBE level of DFT.

Cell: 6.1996 6.1996 5.9474 Å, 95.30 95.30 67.89°
Atoms (fractional coordinates):
Zr (0.0000, 0.0000, 0.0000)
Zr (0.0611, 0.5051, 0.7700)
Zr (0.4382, 0.4382, 0.2048)
Zr (0.4949, 0.9389, 0.2300)
Zr (0.5051, 0.0611, 0.7700)
Zr (0.5618, 0.5618, 0.7952)
Zr (0.9389, 0.4949, 0.2300)
Au (0.1892, 0.8108, 0.5000)
Au (0.8108, 0.1892, 0.5000)
N (0.2268, 0.2268, 0.0253)
N (0.7732, 0.7732, 0.9747)

## Properties
raw total energy: -8.173 eV/atom
space-group type: No. 12
formation energy without anion corrections: -6.86 eV per formula unit

Computed, not measured: Zr3AuN after structural relaxation at the PBE level of DFT.

Cell: 7.8941 7.8941 8.6367 Å, 120.46 120.46 60.91°
Atoms (fractional coordinates):
Zr (0.0762, 0.7664, 0.8335)
Zr (0.1009, 0.6412, 0.2073)
Zr (0.2336, 0.9238, 0.6665)
Zr (0.3579, 0.4141, 0.5129)
Zr (0.3588, 0.8991, 0.2927)
Zr (0.4141, 0.3579, 0.0129)
Zr (0.5859, 0.6421, 0.9871)
Zr (0.6412, 0.1009, 0.7073)
Zr (0.6421, 0.5859, 0.4871)
Zr (0.7664, 0.0762, 0.3335)
Zr (0.8991, 0.3588, 0.7927)
Zr (0.9238, 0.2336, 0.1665)
Au (0.1433, 0.2994, 0.6039)
Au (0.2994, 0.1433, 0.1039)
Au (0.7006, 0.8567, 0.8961)
Au (0.8567, 0.7006, 0.3961)
N (0.0452, 0.9548, 0.2500)
N (0.3204, 0.6796, 0.7500)
N (0.6796, 0.3204, 0.2500)
N (0.9548, 0.0452, 0.7500)

## Properties
raw total energy: -8.116 eV/atom
space-group type: No. 15
formation energy without anion corrections: -3.33 eV per formula unit

Question: Which value of formation energy without anion corrections does entry 4 give?
Answer: 3.34 eV per formula unit

Question: Which of these has the highest raw total energy?
Answer: number 4